First-principles (PBE-GGA) data for a relaxed structure of TbErAlFe, as listed in Alexandria via LeMat-Bulk.

The structure in POSCAR format:
```
TbErAlFe
1.0
0.000 3.509 3.509
3.509 0.000 3.509
3.509 3.509 0.000
Tb Er Al Fe
1 1 1 1
direct
0.000 0.000 0.000 Tb
0.500 0.500 0.500 Er
0.250 0.250 0.250 Al
0.750 0.750 0.750 Fe
```

Computed properties:
Space group ... F-43m (216)
Magnetization ... 1.42 Bohr magnetons per cell
Formation energy ... -0.08 eV per atom
Raw total energy ... -21.70 eV/cell
DOS(E_F) ... 1.932 states/eV per atom